A.
{"formula": "LiSmSb", "functional": "PBE", "state": "optimized geometry", "lattice": [[4.3641, 0.0000, 0.0000], [0.0000, 4.3641, 0.0000], [0.0000, 0.0000, 7.6351]], "species": ["Li", "Li", "Sm", "Sm", "Sb", "Sb"], "fractional_positions": [[0.2500, 0.7500, 0.0000], [0.7500, 0.2500, 0.0000], [0.2500, 0.2500, 0.3475], [0.7500, 0.7500, 0.6525], [0.2500, 0.2500, 0.7652], [0.7500, 0.7500, 0.2348]]}

---

B.
{"formula": "LiSmSb", "functional": "PBE", "state": "optimized geometry", "lattice": [[7.1340, 0.0000, 0.0000], [0.0000, 7.1340, 0.0000], [0.0000, 0.0000, 7.1340]], "species": ["Li", "Li", "Li", "Li", "Sm", "Sm", "Sm", "Sm", "Sb", "Sb", "Sb", "Sb"], "fractional_positions": [[0.0000, 0.0000, 0.0000], [0.0000, 0.5000, 0.5000], [0.5000, 0.0000, 0.5000], [0.5000, 0.5000, 0.0000], [0.2500, 0.2500, 0.2500], [0.2500, 0.7500, 0.7500], [0.7500, 0.2500, 0.7500], [0.7500, 0.7500, 0.2500], [0.0000, 0.0000, 0.5000], [0.0000, 0.5000, 0.0000], [0.5000, 0.0000, 0.0000], [0.5000, 0.5000, 0.5000]]}

---

From most stable to least stable, the computed energies give A, B.

---

A.
{"formula": "GePt15", "functional": "PBE", "state": "optimized geometry", "lattice": [[5.5394, 0.0000, 0.0000], [0.0000, 3.9629, 0.0000], [-0.0171, 0.0000, 36.6119]], "species": ["Ge", "Ge", "Pt", "Pt", "Pt", "Pt", "Pt", "Pt", "Pt", "Pt", "Pt", "Pt", "Pt", "Pt", "Pt", "Pt", "Pt", "Pt", "Pt", "Pt", "Pt", "Pt", "Pt", "Pt", "Pt", "Pt", "Pt", "Pt", "Pt", "Pt", "Pt", "Pt"], "fractional_positions": [[0.1251, 0.2500, 0.2863], [0.8749, 0.7500, 0.7137], [0.1219, 0.2500, 0.7442], [0.1226, 0.2500, 0.8250], [0.1241, 0.2500, 0.9030], [0.1253, 0.2500, 0.0578], [0.1250, 0.2500, 0.1359], [0.1250, 0.2500, 0.2149], [0.1251, 0.2500, 0.9805], [0.3720, 0.7500, 0.2556], [0.3726, 0.7500, 0.1750], [0.3740, 0.7500, 0.0969], [0.3751, 0.7500, 0.0191], [0.3755, 0.7500, 0.7120], [0.3747, 0.7500, 0.7881], [0.3750, 0.7500, 0.8645], [0.3752, 0.7500, 0.9416], [0.6248, 0.2500, 0.0584], [0.6250, 0.2500, 0.1355], [0.6253, 0.2500, 0.2119], [0.6245, 0.2500, 0.2880], [0.6249, 0.2500, 0.9809], [0.6260, 0.2500, 0.9031], [0.6274, 0.2500, 0.8250], [0.6280, 0.2500, 0.7444], [0.8749, 0.7500, 0.0195], [0.8750, 0.7500, 0.7851], [0.8750, 0.7500, 0.8641], [0.8747, 0.7500, 0.9422], [0.8759, 0.7500, 0.0970], [0.8774, 0.7500, 0.1750], [0.8781, 0.7500, 0.2558]]}

---

B.
{"formula": "GePt15", "functional": "PBE", "state": "optimized geometry", "lattice": [[4.8131, 0.0000, 0.0000], [0.0000, 36.8544, 0.0000], [-1.6426, 0.0000, 4.5252]], "species": ["Ge", "Ge", "Pt", "Pt", "Pt", "Pt", "Pt", "Pt", "Pt", "Pt", "Pt", "Pt", "Pt", "Pt", "Pt", "Pt", "Pt", "Pt", "Pt", "Pt", "Pt", "Pt", "Pt", "Pt", "Pt", "Pt", "Pt", "Pt", "Pt", "Pt", "Pt", "Pt"], "fractional_positions": [[0.0000, 0.2136, 0.2500], [0.0000, 0.7864, 0.7500], [0.0000, 0.2446, 0.7500], [0.0000, 0.2867, 0.2500], [0.0000, 0.3253, 0.7500], [0.0000, 0.3645, 0.2500], [0.0000, 0.4032, 0.7500], [0.0000, 0.4421, 0.2500], [0.0000, 0.4806, 0.7500], [0.0000, 0.5194, 0.2500], [0.0000, 0.5579, 0.7500], [0.0000, 0.5968, 0.2500], [0.0000, 0.6355, 0.7500], [0.0000, 0.6747, 0.2500], [0.0000, 0.7133, 0.7500], [0.0000, 0.7554, 0.2500], [0.5000, 0.2109, 0.7500], [0.5000, 0.2446, 0.2500], [0.5000, 0.2866, 0.7500], [0.5000, 0.3252, 0.2500], [0.5000, 0.3643, 0.7500], [0.5000, 0.4032, 0.2500], [0.5000, 0.4418, 0.7500], [0.5000, 0.4807, 0.2500], [0.5000, 0.5193, 0.7500], [0.5000, 0.5582, 0.2500], [0.5000, 0.5968, 0.7500], [0.5000, 0.6357, 0.2500], [0.5000, 0.6748, 0.7500], [0.5000, 0.7134, 0.2500], [0.5000, 0.7554, 0.7500], [0.5000, 0.7891, 0.2500]]}

---

From most stable to least stable, the computed energies give A, B.

---

A.
{"formula": "Au2SeO", "functional": "PBE", "state": "optimized geometry", "lattice": [[6.4839, 0.0000, 0.0000], [0.0000, 7.6925, 0.0000], [-0.0455, 0.0000, 6.2124]], "species": ["Au", "Au", "Au", "Au", "Au", "Au", "Au", "Au", "Se", "Se", "Se", "Se", "O", "O", "O", "O"], "fractional_positions": [[0.0705, 0.1242, 0.2124], [0.0705, 0.3758, 0.7124], [0.4028, 0.7402, 0.0118], [0.4028, 0.7598, 0.5118], [0.5972, 0.2402, 0.4882], [0.5972, 0.2598, 0.9882], [0.9295, 0.6242, 0.2876], [0.9295, 0.8758, 0.7876], [0.2632, 0.1032, 0.5549], [0.2632, 0.3968, 0.0549], [0.7368, 0.6032, 0.9451], [0.7368, 0.8968, 0.4451], [0.1135, 0.6473, 0.5686], [0.1135, 0.8527, 0.0686], [0.8865, 0.1473, 0.9314], [0.8865, 0.3527, 0.4314]]}

---

B.
{"formula": "Au2SeO", "functional": "PBE", "state": "optimized geometry", "lattice": [[8.2328, 0.0000, 0.0000], [0.0000, 3.3939, 0.0000], [-1.5174, 0.0000, 6.0158]], "species": ["Au", "Au", "Au", "Au", "Se", "Se", "O", "O"], "fractional_positions": [[0.0000, 0.0000, 0.0000], [0.0007, 0.5000, 0.4580], [0.5000, 0.5000, 0.0000], [0.5007, 0.0000, 0.4580], [0.3510, 0.0000, 0.7435], [0.8510, 0.5000, 0.7435], [0.1137, 0.5000, 0.1959], [0.6137, 0.0000, 0.1959]]}

---

From most stable to least stable, the computed energies give B, A.

---

A.
{"formula": "LiGa2Ir", "functional": "PBE", "state": "optimized geometry", "lattice": [[8.4402, 0.0000, 0.0000], [0.0000, 6.2676, 0.0000], [0.0000, 0.0000, 4.2424]], "species": ["Li", "Li", "Li", "Li", "Ga", "Ga", "Ga", "Ga", "Ga", "Ga", "Ga", "Ga", "Ir", "Ir", "Ir", "Ir"], "fractional_positions": [[0.1256, 0.2500, 0.2398], [0.3744, 0.7500, 0.7398], [0.6256, 0.2500, 0.2602], [0.8744, 0.7500, 0.7602], [0.1247, 0.5005, 0.7411], [0.1247, 0.9995, 0.7411], [0.3753, 0.0005, 0.2411], [0.3753, 0.4995, 0.2411], [0.6247, 0.5005, 0.7589], [0.6247, 0.9995, 0.7589], [0.8753, 0.0005, 0.2589], [0.8753, 0.4995, 0.2589], [0.1253, 0.7500, 0.2384], [0.3747, 0.2500, 0.7384], [0.6253, 0.7500, 0.2616], [0.8747, 0.2500, 0.7616]]}

---

B.
{"formula": "LiGa2Ir", "functional": "PBE", "state": "optimized geometry", "lattice": [[2.9042, 0.0000, 0.0000], [0.0000, 2.9042, 0.0000], [0.0000, 0.0000, 7.4629]], "species": ["Li", "Ga", "Ga", "Ir"], "fractional_positions": [[0.0000, 0.0000, 0.0000], [0.5000, 0.5000, 0.2754], [0.5000, 0.5000, 0.7246], [0.0000, 0.0000, 0.5000]]}

---

From most stable to least stable, the computed energies give A, B.

---

A.
{"formula": "KSmCoSe3", "functional": "PBE", "state": "optimized geometry", "lattice": [[10.1055, 0.0000, 0.0000], [0.0000, 4.1746, 0.0000], [-0.0033, 0.0000, 15.2150]], "species": ["K", "K", "K", "K", "Sm", "Sm", "Sm", "Sm", "Co", "Co", "Co", "Co", "Se", "Se", "Se", "Se", "Se", "Se", "Se", "Se", "Se", "Se", "Se", "Se"], "fractional_positions": [[0.0403, 0.2500, 0.1713], [0.4602, 0.7500, 0.6716], [0.5398, 0.2500, 0.3284], [0.9597, 0.7500, 0.8287], [0.1692, 0.7500, 0.4433], [0.3312, 0.2500, 0.9434], [0.6688, 0.7500, 0.0566], [0.8308, 0.2500, 0.5567], [0.1496, 0.2500, 0.6294], [0.3508, 0.7500, 0.1292], [0.6492, 0.2500, 0.8708], [0.8504, 0.7500, 0.3706], [0.0252, 0.7500, 0.6129], [0.1745, 0.7500, 0.0211], [0.2199, 0.2500, 0.7734], [0.2805, 0.7500, 0.2732], [0.3259, 0.2500, 0.5212], [0.4751, 0.2500, 0.1128], [0.5249, 0.7500, 0.8872], [0.6741, 0.7500, 0.4788], [0.7195, 0.2500, 0.7268], [0.7801, 0.7500, 0.2266], [0.8255, 0.2500, 0.9789], [0.9748, 0.2500, 0.3871]]}

---

B.
{"formula": "KSmCoSe3", "functional": "PBE", "state": "optimized geometry", "lattice": [[15.1429, 0.0000, 0.0000], [0.0000, 4.0715, 0.0000], [0.0000, 0.0000, 11.1359]], "species": ["K", "K", "K", "K", "Sm", "Sm", "Sm", "Sm", "Co", "Co", "Co", "Co", "Se", "Se", "Se", "Se", "Se", "Se", "Se", "Se", "Se", "Se", "Se", "Se"], "fractional_positions": [[0.2301, 0.2500, 0.0353], [0.2699, 0.7500, 0.5353], [0.7301, 0.2500, 0.4647], [0.7699, 0.7500, 0.9647], [0.0194, 0.2500, 0.3428], [0.4806, 0.7500, 0.8428], [0.5194, 0.2500, 0.1572], [0.9806, 0.7500, 0.6572], [0.0097, 0.7500, 0.0828], [0.4903, 0.2500, 0.5828], [0.5097, 0.7500, 0.4172], [0.9903, 0.2500, 0.9172], [0.0751, 0.7500, 0.8949], [0.1038, 0.2500, 0.5740], [0.1273, 0.7500, 0.2296], [0.3727, 0.2500, 0.7296], [0.3962, 0.7500, 0.0740], [0.4249, 0.2500, 0.3949], [0.5751, 0.7500, 0.6051], [0.6038, 0.2500, 0.9260], [0.6273, 0.7500, 0.2704], [0.8727, 0.2500, 0.7704], [0.8962, 0.7500, 0.4260], [0.9249, 0.2500, 0.1051]]}

---

From most stable to least stable, the computed energies give B, A.

---

A.
{"formula": "GePdSO", "functional": "PBE", "state": "optimized geometry", "lattice": [[5.7752, 0.0000, 0.0000], [0.0000, 6.5262, 0.0000], [0.0000, 0.0000, 14.1674]], "species": ["Ge", "Ge", "Ge", "Ge", "Ge", "Ge", "Ge", "Ge", "Pd", "Pd", "Pd", "Pd", "Pd", "Pd", "Pd", "Pd", "S", "S", "S", "S", "S", "S", "S", "S", "O", "O", "O", "O", "O", "O", "O", "O"], "fractional_positions": [[0.1478, 0.1624, 0.1905], [0.1478, 0.3376, 0.6905], [0.3522, 0.6624, 0.1905], [0.3522, 0.8376, 0.6905], [0.6478, 0.1624, 0.3095], [0.6478, 0.3376, 0.8095], [0.8522, 0.6624, 0.3095], [0.8522, 0.8376, 0.8095], [0.0240, 0.2359, 0.0108], [0.0240, 0.2641, 0.5108], [0.4760, 0.7359, 0.0108], [0.4760, 0.7641, 0.5108], [0.5240, 0.2359, 0.4892], [0.5240, 0.2641, 0.9892], [0.9760, 0.7359, 0.4892], [0.9760, 0.7641, 0.9892], [0.2228, 0.0008, 0.4298], [0.2228, 0.4992, 0.9298], [0.2772, 0.5008, 0.4298], [0.2772, 0.9992, 0.9298], [0.7228, 0.0008, 0.0702], [0.7228, 0.4992, 0.5702], [0.7772, 0.5008, 0.0702], [0.7772, 0.9992, 0.5702], [0.0782, 0.7076, 0.7362], [0.0782, 0.7924, 0.2362], [0.4218, 0.2076, 0.7362], [0.4218, 0.2924, 0.2362], [0.5782, 0.7076, 0.7638], [0.5782, 0.7924, 0.2638], [0.9218, 0.2076, 0.7638], [0.9218, 0.2924, 0.2638]]}

---

B.
{"formula": "GePdSO", "functional": "PBE", "state": "optimized geometry", "lattice": [[6.0391, 0.0000, 0.0000], [0.0000, 6.4792, 0.0000], [0.0000, 0.0000, 7.2767]], "species": ["Ge", "Ge", "Ge", "Ge", "Pd", "Pd", "Pd", "Pd", "S", "S", "S", "S", "O", "O", "O", "O"], "fractional_positions": [[0.1154, 0.1600, 0.3440], [0.3846, 0.8400, 0.8440], [0.6154, 0.3400, 0.6560], [0.8846, 0.6600, 0.1560], [0.0182, 0.7158, 0.4719], [0.4818, 0.2842, 0.9719], [0.5182, 0.7842, 0.5281], [0.9818, 0.2158, 0.0281], [0.1834, 0.5539, 0.9561], [0.3166, 0.4461, 0.4561], [0.6834, 0.9461, 0.0439], [0.8166, 0.0539, 0.5439], [0.2353, 0.0815, 0.8704], [0.2647, 0.9185, 0.3704], [0.7353, 0.4185, 0.1296], [0.7647, 0.5815, 0.6296]]}

---

From most stable to least stable, the computed energies give A, B.

---

A.
{"formula": "PmSmNO", "functional": "PBE", "state": "optimized geometry", "lattice": [[8.3085, 0.0000, 0.0000], [0.0000, 6.9422, 0.0000], [0.0000, 0.0000, 5.0730]], "species": ["Pm", "Pm", "Pm", "Pm", "Sm", "Sm", "Sm", "Sm", "N", "N", "N", "N", "O", "O", "O", "O"], "fractional_positions": [[0.1270, 0.0832, 0.2500], [0.1270, 0.4168, 0.7500], [0.8730, 0.5832, 0.2500], [0.8730, 0.9168, 0.7500], [0.3774, 0.5742, 0.2500], [0.3774, 0.9258, 0.7500], [0.6226, 0.0742, 0.2500], [0.6226, 0.4258, 0.7500], [0.1271, 0.0705, 0.7500], [0.1271, 0.4295, 0.2500], [0.8729, 0.5705, 0.7500], [0.8729, 0.9295, 0.2500], [0.3719, 0.5931, 0.7500], [0.3719, 0.9069, 0.2500], [0.6281, 0.0931, 0.7500], [0.6281, 0.4069, 0.2500]]}

---

B.
{"formula": "PmSmNO", "functional": "PBE", "state": "optimized geometry", "lattice": [[3.9350, 0.0000, 0.0000], [0.0000, 6.8034, 0.0000], [0.0000, 0.0000, 5.8408]], "species": ["Pm", "Pm", "Sm", "Sm", "N", "N", "O", "O"], "fractional_positions": [[0.0000, 0.1682, 0.0000], [0.0000, 0.8318, 0.5000], [0.5000, 0.3353, 0.4990], [0.5000, 0.6647, 0.9990], [0.0000, 0.1638, 0.4060], [0.0000, 0.8362, 0.9060], [0.5000, 0.3281, 0.8949], [0.5000, 0.6719, 0.3949]]}

---

From most stable to least stable, the computed energies give A, B.

---

A.
{"formula": "TmScCo", "functional": "PBE", "state": "optimized geometry", "lattice": [[6.3759, 0.0000, 0.0000], [0.0000, 6.3759, 0.0000], [0.0000, 0.0000, 6.3759]], "species": ["Tm", "Tm", "Tm", "Tm", "Sc", "Sc", "Sc", "Sc", "Co", "Co", "Co", "Co"], "fractional_positions": [[0.0000, 0.0000, 0.0000], [0.0000, 0.5000, 0.5000], [0.5000, 0.0000, 0.5000], [0.5000, 0.5000, 0.0000], [0.2500, 0.2500, 0.2500], [0.2500, 0.7500, 0.7500], [0.7500, 0.2500, 0.7500], [0.7500, 0.7500, 0.2500], [0.2500, 0.2500, 0.7500], [0.2500, 0.7500, 0.2500], [0.7500, 0.2500, 0.2500], [0.7500, 0.7500, 0.7500]]}

---

B.
{"formula": "TmScCo", "functional": "PBE", "state": "optimized geometry", "lattice": [[6.3344, 0.0000, 0.0000], [0.0000, 6.3344, 0.0000], [0.0000, 0.0000, 6.3344]], "species": ["Tm", "Tm", "Tm", "Tm", "Sc", "Sc", "Sc", "Sc", "Co", "Co", "Co", "Co"], "fractional_positions": [[0.0000, 0.0000, 0.0000], [0.0000, 0.5000, 0.5000], [0.5000, 0.0000, 0.5000], [0.5000, 0.5000, 0.0000], [0.2500, 0.2500, 0.7500], [0.2500, 0.7500, 0.2500], [0.7500, 0.2500, 0.2500], [0.7500, 0.7500, 0.7500], [0.0000, 0.0000, 0.5000], [0.0000, 0.5000, 0.0000], [0.5000, 0.0000, 0.0000], [0.5000, 0.5000, 0.5000]]}

---

From most stable to least stable, the computed energies give B, A.

---

A.
{"formula": "Hf2ZrNi2As4Pd2", "functional": "PBE", "state": "optimized geometry", "lattice": [[6.4932, 0.0000, 0.0000], [0.0000, 3.8827, 0.0000], [-0.0084, 0.0000, 7.5386]], "species": ["Hf", "Hf", "Zr", "Ni", "Ni", "As", "As", "As", "As", "Pd", "Pd"], "fractional_positions": [[0.0000, 0.0000, 0.0000], [0.4980, 0.0000, 0.1401], [0.5717, 0.5000, 0.5109], [0.6806, 0.5000, 0.8872], [0.8855, 0.0000, 0.3764], [0.2687, 0.0000, 0.4590], [0.2824, 0.5000, 0.9400], [0.7872, 0.5000, 0.1961], [0.8159, 0.0000, 0.6915], [0.1774, 0.5000, 0.2676], [0.4189, 0.0000, 0.7665]]}

---

B.
{"formula": "Hf2ZrNi2As4Pd2", "functional": "PBE", "state": "optimized geometry", "lattice": [[6.4931, 0.0000, 0.0000], [0.0000, 3.8693, 0.0000], [-0.1675, 0.0000, 7.5564]], "species": ["Hf", "Hf", "Zr", "Ni", "Ni", "As", "As", "As", "As", "Pd", "Pd"], "fractional_positions": [[0.0000, 0.0000, 0.0000], [0.0624, 0.5000, 0.3679], [0.5013, 0.0000, 0.8652], [0.3859, 0.0000, 0.2368], [0.6823, 0.5000, 0.1245], [0.2999, 0.5000, 0.0708], [0.3199, 0.0000, 0.5416], [0.7621, 0.0000, 0.2963], [0.7782, 0.5000, 0.8124], [0.1793, 0.5000, 0.7418], [0.8988, 0.0000, 0.6118]]}

---

From most stable to least stable, the computed energies give B, A.